{"formula": "CsRb2Li2", "functional": "PBE", "state": "optimized geometry", "volume_a3_per_atom": 62.0, "relative_energy_ev_per_fu": 0.14, "total_energy_ev_per_atom": -1.13, "formation_energy_ev_per_fu": 0.94, "sg": "No. 127", "lattice": [[-9.381, -7.146, 0.036], [6.054, -7.915, 6.306], [-1.435, 1.903, 3.766]], "species": ["Cs", "Li", "Rb", "Rb", "Li", "Li", "Li", "Cs", "Rb", "Rb"], "fractional_positions": [[0.500, 0.500, 0.000], [0.165, 0.665, 0.500], [0.368, 0.868, 0.000], [0.632, 0.132, 0.000], [0.835, 0.335, 0.500], [0.335, 0.165, 0.500], [0.665, 0.835, 0.500], [0.000, 0.000, 0.000], [0.868, 0.632, 0.000], [0.132, 0.368, 0.000]]}